The following is a PBE calculation of a relaxed structure of Sc2AuF, from Alexandria.

It has space group R-3m (No. 166, hexagonal axes), with a = 4.0251 Å, b = 4.0251 Å, c = 20.8317 Å, α = 90.00°, β = 90.00° and γ = 120.00°. The asymmetric unit holds Sc at (0.0000, 0.0000, 0.0975), Au at (0.0000, 0.0000, 0.5000) and F at (0.0000, 0.0000, 0.0000).

The value obtained for the density of states at the Fermi level is 4.869 states/eV/cell. The energy above the lowest structure with this stoichiometry is 0.0 meV per atom. The final energy comes out at -5.96 eV/atom. The raw formation energy comes out at -1.5043 eV/atom.